No. 1
A relaxed structure of Ce2Si4NiRh3. Source: Alexandria, functional GGA-PBE.

```
data_Ce2Si4NiRh3
_chemical_formula_sum 'Ce2 Si4 Ni1 Rh3'
_space_group_name_H-M_alt 'P 1'
_space_group_IT_number 1
_cell_length_a 4.128
_cell_length_b 4.128
_cell_length_c 9.861
_cell_angle_alpha 90.00
_cell_angle_beta 90.00
_cell_angle_gamma 90.00
loop_
_space_group_symop_operation_xyz
'x,y,z'
loop_
_atom_site_label
_atom_site_type_symbol
_atom_site_fract_x
_atom_site_fract_y
_atom_site_fract_z
_atom_site_occupancy
Ce1 Ce 0.500 0.000 0.248 1
Ce2 Ce 0.000 0.500 0.752 1
Si1 Si 0.500 0.500 0.000 1
Si2 Si 0.000 0.000 0.000 1
Si3 Si 0.500 0.000 0.627 1
Si4 Si 0.000 0.500 0.373 1
Ni1 Ni 0.500 0.500 0.500 1
Rh1 Rh 0.000 0.000 0.500 1
Rh2 Rh 0.500 0.000 0.872 1
Rh3 Rh 0.000 0.500 0.128 1
```

Results
**Energy relative to the elements, uncorrected**: -9.46 eV per formula unit
**Fermi-level density of states**: 11.37 states/eV/cell

---

No. 2
A relaxed structure of CeSi2Ni2Rh. Source: Alexandria, functional GGA-PBE.

```
data_CeSi2Ni2Rh
_chemical_formula_sum 'Ce1 Si2 Ni2 Rh1'
_space_group_name_H-M_alt 'P 1'
_space_group_IT_number 1
_cell_length_a 4.540
_cell_length_b 4.540
_cell_length_c 5.190
_cell_angle_alpha 90.00
_cell_angle_beta 90.00
_cell_angle_gamma 90.00
loop_
_space_group_symop_operation_xyz
'x,y,z'
loop_
_atom_site_label
_atom_site_type_symbol
_atom_site_fract_x
_atom_site_fract_y
_atom_site_fract_z
_atom_site_occupancy
Ce1 Ce 0.000 0.000 0.500 1
Si1 Si 0.500 0.000 0.000 1
Si2 Si 0.000 0.500 0.000 1
Ni1 Ni 0.500 0.500 0.755 1
Ni2 Ni 0.500 0.500 0.245 1
Rh1 Rh 0.000 0.000 0.000 1
```

Results
**Energy relative to the elements, uncorrected**: -1.12 eV per formula unit
**Fermi-level density of states**: 7.21 states/eV/cell

---

No. 3
A relaxed structure of Ce2Si3Ni4Rh. Source: Alexandria, functional GGA-PBE.

```
data_Ce2Si3Ni4Rh
_chemical_formula_sum 'Ce2 Si3 Ni4 Rh1'
_space_group_name_H-M_alt 'P 1'
_space_group_IT_number 1
_cell_length_a 3.850
_cell_length_b 3.850
_cell_length_c 10.477
_cell_angle_alpha 90.00
_cell_angle_beta 90.00
_cell_angle_gamma 90.00
loop_
_space_group_symop_operation_xyz
'x,y,z'
loop_
_atom_site_label
_atom_site_type_symbol
_atom_site_fract_x
_atom_site_fract_y
_atom_site_fract_z
_atom_site_occupancy
Ce1 Ce 0.500 0.000 0.255 1
Ce2 Ce 0.000 0.500 0.745 1
Si1 Si 0.000 0.000 0.500 1
Si2 Si 0.500 0.000 0.879 1
Si3 Si 0.000 0.500 0.121 1
Ni1 Ni 0.500 0.500 0.000 1
Ni2 Ni 0.000 0.000 0.000 1
Ni3 Ni 0.500 0.000 0.658 1
Ni4 Ni 0.000 0.500 0.342 1
Rh1 Rh 0.500 0.500 0.500 1
```

Results
**Energy relative to the elements, uncorrected**: -7.07 eV per formula unit
**Fermi-level density of states**: 9.96 states/eV/cell

---

No. 4
A relaxed structure of CeSi2Ni5Rh. Source: Alexandria, functional GGA-PBE.

```
data_CeSi2Ni5Rh
_chemical_formula_sum 'Ce1 Si2 Ni5 Rh1'
_space_group_name_H-M_alt 'P 1'
_space_group_IT_number 1
_cell_length_a 3.688
_cell_length_b 3.688
_cell_length_c 8.980
_cell_angle_alpha 90.00
_cell_angle_beta 90.00
_cell_angle_gamma 90.00
loop_
_space_group_symop_operation_xyz
'x,y,z'
loop_
_atom_site_label
_atom_site_type_symbol
_atom_site_fract_x
_atom_site_fract_y
_atom_site_fract_z
_atom_site_occupancy
Ce1 Ce 0.000 0.000 0.500 1
Si1 Si 0.500 0.500 0.126 1
Si2 Si 0.500 0.500 0.874 1
Ni1 Ni 0.000 0.500 0.272 1
Ni2 Ni 0.500 0.000 0.272 1
Ni3 Ni 0.000 0.500 0.728 1
Ni4 Ni 0.500 0.000 0.728 1
Ni5 Ni 0.500 0.500 0.500 1
Rh1 Rh 0.000 0.000 0.000 1
```

Results
**Energy relative to the elements, uncorrected**: -2.53 eV per formula unit
**Fermi-level density of states**: 3.34 states/eV/cell